# 1
The following is a GGA-PBE calculation of a relaxed SiO crystal, from Alexandria via LeMat-Bulk.

Cell lengths 4.2809, 4.2809, 4.2809 Å; angles 144.27, 104.89, 86.05 degrees
Last column: nearest neighbours and their distance in Å.
Element x y z (fractional)
Si: 0.0000 0.0000 0.0000  2 O 1.94
Si: 0.5000 0.0000 0.5000  4 O 1.77
O: 0.3104 0.3104 0.0000  3 Si 1.77-1.94
O: 0.6896 0.6896 0.0000  3 Si 1.77-1.94

Output
D(E_F) ... 0.18 states/eV/atom
Raw formation energy ... -1406.3 meV/atom

# 2
The following is a GGA-PBE calculation of a relaxed Ni3Sb2Se2 crystal, from Alexandria via LeMat-Bulk.

Cell lengths 6.2739, 6.2739, 6.4048 Å; angles 119.41, 119.41, 36.16 degrees
Last column: nearest neighbours and their distance in Å.
Element x y z (fractional)
Ni: 0.0000 0.0000 0.0000  2 Se 2.45, 4 Sb 2.63, 2 Ni 2.67
Ni: 0.2605 0.2605 0.2272  3 Se 2.43-2.44, 3 Sb 2.60-2.65, 1 Ni 2.67
Ni: 0.7395 0.7395 0.7728  3 Se 2.43-2.44, 3 Sb 2.60-2.65, 1 Ni 2.67
Sb: 0.3660 0.3660 0.6980  5 Ni 2.60-2.65
Sb: 0.6340 0.6340 0.3020  5 Ni 2.60-2.65
Se: 0.1204 0.1204 0.7846  4 Ni 2.43-2.45
Se: 0.8796 0.8796 0.2154  4 Ni 2.43-2.45

Output
D(E_F) ... 0.65 states/eV/atom
Raw formation energy ... -257.0 meV/atom

# 3
The following is a GGA-PBE calculation of a relaxed TlP3Os crystal, from Alexandria via LeMat-Bulk.

Cell lengths 4.7017, 4.7017, 4.7017 Å; angles 90.00, 90.00, 90.00 degrees
Last column: nearest neighbours and their distance in Å.
Element x y z (fractional)
Tl: 0.0000 0.0000 0.0000  12 P 3.32
P: 0.0000 0.5000 0.5000  2 Os 2.35
P: 0.5000 0.0000 0.5000  2 Os 2.35
P: 0.5000 0.5000 0.0000  2 Os 2.35
Os: 0.5000 0.5000 0.5000  6 P 2.35

Output
Formation energy from the elements ... 0.6115 eV/atom
D(E_F) ... 1.08 states/eV/atom
Excess energy over the best structure of this formula in the dataset ... 0 meV/atom

# 4
The following is a GGA-PBE calculation of a relaxed Ba2AsOs crystal, from Alexandria via LeMat-Bulk.

Cell lengths 8.4982, 8.4982, 8.4982 Å; angles 30.88, 30.88, 30.88 degrees
Last column: nearest neighbours and their distance in Å.
Element x y z (fractional)
Ba: 0.2493 0.2493 0.2493  3 As 3.29, 3 Os 3.31
Ba: 0.7507 0.7507 0.7507  3 As 3.29, 3 Os 3.31
As: 0.5000 0.5000 0.5000  6 Ba 3.29
Os: 0.0000 0.0000 0.0000  6 Ba 3.31

Output
Formation energy from the elements ... 0.5489 eV/atom
D(E_F) ... 1.16 states/eV/atom

# 5
The following is a GGA-PBE calculation of a relaxed BaCrRe2 crystal, from Alexandria via LeMat-Bulk.

Cell lengths 3.0037, 4.7747, 5.3531 Å; angles 90.00, 90.00, 90.00 degrees
Last column: nearest neighbours and their distance in Å.
Element x y z (fractional)
Ba: 0.0000 0.0000 0.0000  4 Cr 2.82, 2 Ba 3.00, 4 Re 3.07
Cr: 0.5000 0.5000 0.0000  4 Ba 2.82, 2 Cr 3.00, 4 Re 3.07
Re: 0.0000 0.5000 0.5000  6 Re 2.82-3.00, 4 Cr 3.07
Re: 0.5000 0.0000 0.5000  6 Re 2.82-3.00, 4 Ba 3.07

Output
Formation energy from the elements ... 1.4843 eV/atom
D(E_F) ... 1.16 states/eV/atom
Excess energy over the best structure of this formula in the dataset ... 697 meV/atom

# 6
The following is a GGA-PBE calculation of a relaxed YHo5Th2 crystal, from Alexandria via LeMat-Bulk.

Cell lengths 9.4867, 9.4867, 9.4867 Å; angles 139.76, 91.30, 102.35 degrees
Last column: nearest neighbours and their distance in Å.
Element x y z (fractional)
Y: 0.4557 0.2057 0.2500  7 Ho 3.32-3.55, 2 Y 3.43
Y: 0.5443 0.7943 0.7500  7 Ho 3.32-3.55, 2 Y 3.43
Ho: 0.0863 0.9679 0.1184  4 Ho 3.23-3.54, 1 Y 3.32, 2 Th 3.53
Ho: 0.2622 0.5122 0.7500  4 Th 3.32-3.52, 1 Y 3.36
Ho: 0.2655 0.0000 0.7655  4 Ho 3.26-3.54, 3 Th 3.40-3.52, 2 Y 3.55
Ho: 0.2655 0.5000 0.2655  4 Ho 3.26-3.54, 3 Th 3.40-3.52, 2 Y 3.55
Ho: 0.3495 0.9679 0.3816  4 Ho 3.23-3.54, 1 Y 3.32, 2 Th 3.53
Ho: 0.6505 0.0321 0.6184  4 Ho 3.23-3.54, 1 Y 3.32, 2 Th 3.53
Ho: 0.7345 0.0000 0.2345  4 Ho 3.26-3.54, 3 Th 3.40-3.52, 2 Y 3.55
Ho: 0.7345 0.5000 0.7345  4 Ho 3.26-3.54, 3 Th 3.40-3.52, 2 Y 3.55
Ho: 0.7378 0.4878 0.2500  4 Th 3.32-3.52, 1 Y 3.36
Ho: 0.9137 0.0321 0.8816  4 Ho 3.23-3.54, 1 Y 3.32, 2 Th 3.53
Th: 0.0000 0.0000 0.5000  2 Th 3.26, 8 Ho 3.52-3.53
Th: 0.0000 0.5000 0.0000  2 Th 3.26, 8 Ho 3.52-3.53
Th: 0.0000 0.5000 0.5000  10 Ho 3.32-3.64
Th: 0.5000 0.5000 0.0000  10 Ho 3.32-3.64

Output
Formation energy from the elements ... 0.2379 eV/atom
D(E_F) ... 1.85 states/eV/atom
Excess energy over the best structure of this formula in the dataset ... 143 meV/atom

# 7
The following is a GGA-PBE calculation of a relaxed La5Er2Tm5 crystal, from Alexandria via LeMat-Bulk.

Cell lengths 8.0915, 8.0915, 11.3780 Å; angles 115.34, 115.34, 36.54 degrees
Last column: nearest neighbours and their distance in Å.
Element x y z (fractional)
La: 0.0000 0.0000 0.0000  4 La 3.59-3.60, 8 Tm 3.61-3.62
La: 0.0800 0.0800 0.7476  2 Er 3.56-3.63, 7 Tm 3.57-3.64, 3 La 3.60-3.66
La: 0.2481 0.2481 0.2524  3 Er 3.55-3.58, 6 Tm 3.57-3.64, 3 La 3.59-3.66
La: 0.7519 0.7519 0.7476  3 Er 3.55-3.58, 6 Tm 3.57-3.64, 3 La 3.59-3.66
La: 0.9200 0.9200 0.2524  2 Er 3.56-3.63, 7 Tm 3.57-3.64, 3 La 3.60-3.66
Er: 0.1669 0.1669 0.4988  5 La 3.55-3.63, 5 Tm 3.55-3.61, 2 Er 3.59
Er: 0.8331 0.8331 0.5012  5 La 3.55-3.63, 5 Tm 3.55-3.61, 2 Er 3.59
Tm: 0.3324 0.3324 0.0000  4 Tm 3.58-3.65, 8 La 3.61-3.64
Tm: 0.4147 0.4147 0.7452  3 Er 3.55-3.57, 6 La 3.57-3.62, 3 Tm 3.58-3.65
Tm: 0.5000 0.5000 0.5000  6 La 3.57-3.62, 2 Tm 3.58, 4 Er 3.61
Tm: 0.5853 0.5853 0.2548  3 Er 3.55-3.57, 6 La 3.57-3.62, 3 Tm 3.58-3.65
Tm: 0.6676 0.6676 0.0000  4 Tm 3.58-3.65, 8 La 3.61-3.64

Output
Formation energy from the elements ... 0.0347 eV/atom
D(E_F) ... 1.54 states/eV/atom

# 8
The following is a GGA-PBE calculation of a relaxed SrCa2Tl6 crystal, from Alexandria via LeMat-Bulk.

Cell lengths 9.2650, 9.2650, 3.7141 Å; angles 90.00, 90.00, 120.00 degrees
Last column: nearest neighbours and their distance in Å.
Element x y z (fractional)
Sr: 0.0000 0.0000 0.0000  12 Tl 3.62, 2 Sr 3.71
Ca: 0.3333 0.6667 0.0000  12 Tl 3.59, 2 Ca 3.71
Ca: 0.6667 0.3333 0.0000  12 Tl 3.59, 2 Ca 3.71
Tl: 0.0000 0.3358 0.5000  3 Tl 3.04-3.11
Tl: 0.0000 0.6642 0.5000  3 Tl 3.04-3.11
Tl: 0.3358 0.0000 0.5000  3 Tl 3.04-3.11
Tl: 0.3358 0.3358 0.5000  3 Tl 3.04-3.11
Tl: 0.6642 0.0000 0.5000  3 Tl 3.04-3.11
Tl: 0.6642 0.6642 0.5000  3 Tl 3.04-3.11

Output
Formation energy from the elements ... -0.2493 eV/atom
D(E_F) ... 0.54 states/eV/atom

# 9
The following is a GGA-PBE calculation of a relaxed Dy4NiBi2 crystal, from Alexandria via LeMat-Bulk.

Cell lengths 6.9124, 6.5757, 9.1034 Å; angles 90.00, 107.94, 90.00 degrees
Last column: nearest neighbours and their distance in Å.
Element x y z (fractional)
Dy: 0.0184 0.0034 0.2767  1 Ni 2.62
Dy: 0.0184 0.4966 0.2767  1 Ni 2.62
Dy: 0.3664 0.7500 0.0648  1 Ni 2.55
Dy: 0.4319 0.7500 0.6364  1 Ni 2.62
Dy: 0.5681 0.2500 0.3636  1 Ni 2.62
Dy: 0.6336 0.2500 0.9352  1 Ni 2.55
Dy: 0.9816 0.5034 0.7233  1 Ni 2.62
Dy: 0.9816 0.9966 0.7233  1 Ni 2.62
Ni: 0.3255 0.7500 0.3337  4 Dy 2.55-2.62, 1 Bi 2.62
Ni: 0.6745 0.2500 0.6663  4 Dy 2.55-2.62, 1 Bi 2.62
Bi: 0.2113 0.2500 0.0400  8 Dy 3.21-3.44
Bi: 0.2756 0.2500 0.5816  1 Ni 2.62
Bi: 0.7244 0.7500 0.4184  1 Ni 2.62
Bi: 0.7887 0.7500 0.9600  8 Dy 3.21-3.44

Output
Formation energy from the elements ... -0.4665 eV/atom
D(E_F) ... 0.98 states/eV/atom
Excess energy over the best structure of this formula in the dataset ... 57 meV/atom

# 10
The following is a GGA-PBE calculation of a relaxed Cr2HgAs2 crystal, from Alexandria via LeMat-Bulk.

Cell lengths 5.7849, 5.7849, 5.7849 Å; angles 136.28, 136.28, 63.55 degrees
Last column: nearest neighbours and their distance in Å.
Element x y z (fractional)
Cr: 0.2500 0.7500 0.5000  4 As 2.44
Cr: 0.7500 0.2500 0.5000  4 As 2.44
Hg: 0.0000 0.0000 0.0000  8 Cr 3.27, 10 As 3.32-3.61
As: 0.3668 0.3668 0.0000  4 Cr 2.44, 1 As 2.62
As: 0.6332 0.6332 0.0000  4 Cr 2.44, 1 As 2.62

Output
Formation energy from the elements ... 0.1047 eV/atom
D(E_F) ... 0.49 states/eV/atom
Excess energy over the best structure of this formula in the dataset ... 0 meV/atom

# 11
The following is a GGA-PBE calculation of a relaxed LiCrRu2 crystal, from Alexandria via LeMat-Bulk.

Cell lengths 5.4062, 5.4062, 5.4062 Å; angles 103.58, 103.58, 122.04 degrees
Last column: nearest neighbours and their distance in Å.
Element x y z (fractional)
Li: 0.0000 0.0000 0.0000  2 Cr 2.62, 8 Ru 2.67-2.92
Li: 0.7500 0.2500 0.5000  2 Cr 2.62, 8 Ru 2.67-2.92
Cr: 0.2500 0.7500 0.5000  4 Ru 2.26
Cr: 0.5000 0.5000 0.0000  4 Ru 2.26
Ru: 0.1698 0.6250 0.0448  2 Cr 2.26
Ru: 0.3750 0.4198 0.5448  2 Cr 2.26
Ru: 0.5802 0.1250 0.9552  2 Cr 2.26
Ru: 0.8750 0.8302 0.4552  2 Cr 2.26

Output
Formation energy from the elements ... 0.5229 eV/atom
D(E_F) ... 1.23 states/eV/atom
Excess energy over the best structure of this formula in the dataset ... 446 meV/atom

# 12
The following is a GGA-PBE calculation of a relaxed KAgCl2 crystal, from Alexandria via LeMat-Bulk.

Cell lengths 5.5816, 5.5816, 5.5816 Å; angles 136.19, 107.43, 88.78 degrees
Last column: nearest neighbours and their distance in Å.
Element x y z (fractional)
K: 0.0000 0.0000 0.0000  4 Cl 3.10
Ag: 0.5000 0.5000 0.0000  4 Cl 2.68
Cl: 0.2876 0.7876 0.5000  2 Ag 2.68
Cl: 0.7124 0.2124 0.5000  2 Ag 2.68

Output
D(E_F) ... 0.00 states/eV/atom
Raw formation energy ... -1111.2 meV/atom

| no. | size of the total moment (μB per atom) |
| --- | --- |
| 1 | 0.000 |
| 2 | 0.000 |
| 3 | 0.000 |
| 4 | 0.748 |
| 5 | 0.719 |
| 6 | 0.000 |
| 7 | 0.000 |
| 8 | 0.000 |
| 9 | 0.000 |
| 10 | 0.890 |
| 11 | 0.000 |
| 12 | 0.000 |